## A
A relaxed structure of PmSc3Se4, computed with PBE.

Results
Theoretical density: 5.64 Mg/m³
V: 351 Å³ per cell

Unit cell a=3.9149 b=3.9149 c=26.4303 alpha=90.00 beta=90.00 gamma=120.00
Fractional coordinates of all 16 atoms:
Se 0.3333 0.6667 0.0594
Se 0.0000 0.0000 0.3229
Se 0.6667 0.3333 0.5594
Se 0.3333 0.6667 0.4406
Se 0.0000 0.0000 0.1771
Se 0.0000 0.0000 0.8229
Se 0.6667 0.3333 0.9406
Se 0.0000 0.0000 0.6771
Sc 0.6667 0.3333 0.3814
Sc 0.3333 0.6667 0.6186
Sc 0.0000 0.0000 0.5000
Sc 0.6667 0.3333 0.1186
Sc 0.3333 0.6667 0.8814
Sc 0.0000 0.0000 0.0000
Pm 0.6667 0.3333 0.7500
Pm 0.3333 0.6667 0.2500

=====

## B
A relaxed structure of PmSc3Se4, computed with PBE.

Results
Theoretical density: 5.54 Mg/m³
V: 179 Å³ per cell

Unit cell a=5.6321 b=5.6321 c=5.6321 alpha=90.00 beta=90.00 gamma=90.00
Fractional coordinates of all 8 atoms:
Se 0.0000 0.0000 0.5000
Se 0.5000 0.5000 0.5000
Se 0.0000 0.5000 0.0000
Se 0.5000 0.0000 0.0000
Sc 0.5000 0.0000 0.5000
Sc 0.5000 0.5000 0.0000
Sc 0.0000 0.5000 0.5000
Pm 0.0000 0.0000 0.0000

=====

Which structure loses on stability? B does.

=====

## A
A relaxed structure of PmScSe3, computed with PBE.

Results
Theoretical density: 5.79 Mg/m³
V: 489 Å³ per cell

Unit cell a=3.9543 b=8.4278 c=14.6862 alpha=90.00 beta=90.00 gamma=90.00
Fractional coordinates of all 20 atoms:
Sc 0.7500 0.6829 0.0406
Sc 0.7500 0.1829 0.4594
Sc 0.2500 0.3171 0.9594
Sc 0.2500 0.8171 0.5406
Se 0.2500 0.8409 0.9538
Se 0.7500 0.3483 0.2987
Se 0.2500 0.3409 0.5462
Se 0.2500 0.6517 0.7013
Se 0.7500 0.6591 0.4538
Se 0.2500 0.0024 0.3873
Se 0.7500 0.8483 0.2013
Se 0.7500 0.4976 0.8873
Se 0.7500 0.9976 0.6127
Se 0.2500 0.5024 0.1127
Se 0.2500 0.1517 0.7987
Se 0.7500 0.1591 0.0462
Pm 0.7500 0.3575 0.6975
Pm 0.2500 0.1425 0.1975
Pm 0.7500 0.8575 0.8025
Pm 0.2500 0.6425 0.3025

=====

## B
A relaxed structure of PmScSe3, computed with PBE.

Results
Theoretical density: 5.36 Mg/m³
V: 529 Å³ per cell

Unit cell a=6.6901 b=9.1145 c=10.2417 alpha=122.08 beta=90.00 gamma=90.00
Fractional coordinates of all 20 atoms:
Pm 0.7475 0.5018 0.1505
Pm 0.2525 0.4982 0.8495
Pm 0.7525 0.0018 0.6505
Pm 0.2475 0.9982 0.3495
Se 0.8274 0.3972 0.8007
Se 0.5892 0.6556 0.4597
Se 0.5532 0.7699 0.8624
Se 0.4108 0.3444 0.5403
Se 0.3274 0.1028 0.6993
Se 0.1726 0.6028 0.1993
Se 0.9108 0.1556 0.9597
Se 0.0532 0.7301 0.6376
Se 0.6726 0.8972 0.3007
Se 0.9468 0.2699 0.3624
Se 0.4468 0.2301 0.1376
Se 0.0892 0.8444 0.0403
Sc 0.2511 0.9809 0.8883
Sc 0.7511 0.5191 0.6117
Sc 0.7489 0.0191 0.1117
Sc 0.2489 0.4809 0.3883

=====

Which structure loses on stability? B does.

=====

## A
A relaxed structure of Pm2ScSe3, computed with PBE.

Results
Theoretical density: 6.48 Mg/m³
V: 293 Å³ per cell

Unit cell a=4.0059 b=4.0059 c=21.0904 alpha=90.00 beta=90.00 gamma=120.00
Fractional coordinates of all 12 atoms:
Se 0.3333 0.6667 0.1734
Se 0.0000 0.0000 0.5000
Se 0.3333 0.6667 0.3266
Se 0.6667 0.3333 0.6734
Se 0.0000 0.0000 0.0000
Se 0.6667 0.3333 0.8266
Sc 0.0000 0.0000 0.7500
Sc 0.0000 0.0000 0.2500
Pm 0.3333 0.6667 0.5853
Pm 0.6667 0.3333 0.0853
Pm 0.3333 0.6667 0.9147
Pm 0.6667 0.3333 0.4147

=====

## B
A relaxed structure of Pm2ScSe3, computed with PBE.

Results
Theoretical density: 6.22 Mg/m³
V: 153 Å³ per cell

Unit cell a=3.8738 b=4.9599 c=8.5421 alpha=106.88 beta=103.11 gamma=90.00
Fractional coordinates of all 6 atoms:
Se 0.1700 0.1700 0.3401
Se 0.0000 0.5000 0.0000
Se 0.8300 0.8300 0.6599
Pm 0.6441 0.6441 0.2883
Pm 0.3559 0.3559 0.7117
Sc 0.0000 0.0000 0.0000

=====

Which structure loses on stability? B does.